## Tl3InBi (PBE)

Data for crystalline Tl3InBi at its relaxed geometry.

The structure in extended XYZ format:
```
10
Lattice="-3.864 5.690 -1.520 -5.499 -3.781 -2.256 1.724 -3.259 8.057" Properties=species:S:1:pos:R:3 pbc="T T T"
Tl -7.734 0.258 -1.752
Tl -2.991 -0.709 0.161
Tl -4.648 -0.641 4.120
Tl -4.937 2.175 -0.637
Tl 0.095 -1.608 6.033
Tl -2.702 -3.525 4.918
In -1.896 1.249 5.332
In -5.744 -2.598 -1.051
Bi -6.170 -0.315 1.162
Bi -1.469 -1.035 3.119
```

Formation energy, eV/atom: 0.040
Symmetry: C2/m (12)
Density of states at the Fermi level, states/eV/f.u.: 2.3
Offset from the most stable computed form, meV/atom: 0